Below is a relaxed structure of BeFe2W, with properties calculated at the GGA-PBE level.

```
data_BeFe2W
_cell_length_a 4.752
_cell_length_b 4.752
_cell_length_c 2.554
_cell_angle_alpha 100.76
_cell_angle_beta 100.76
_cell_angle_gamma 116.82
_space_group_name_H-M_alt 'P 1'
_space_group_IT_number 1
loop_
_space_group_symop_operation_xyz
'x,y,z'
loop_
_atom_site_label
_atom_site_type_symbol
_atom_site_fract_x
_atom_site_fract_y
_atom_site_fract_z
Be1 Be 0.000 0.000 0.000
Fe1 Fe 0.000 0.500 0.500
Fe2 Fe 0.500 0.000 0.500
W1 W 0.500 0.500 0.000
```

Results
DOS at the Fermi energy: 3.00 states/eV/cell
Total energy: -8.23 eV per atom
Calculated formation energy: 0.171 eV/atom
Crystal system: monoclinic